(1)
Density functional theory data (PBE) for Li2MnBr5 after structural relaxation.

a = 6.338 Å, b = 6.897 Å, c = 6.897 Å
α = 78.49°, β = 62.17°, γ = 62.17°
Positions (direct):
Li 0.594 0.032 0.617
Li 0.594 0.617 0.032
Mn 0.994 0.023 0.023
Br 0.718 0.312 0.312
Br 0.381 0.745 0.745
Br 0.050 0.305 0.753
Br 0.050 0.753 0.305
Br 0.621 0.989 0.989

Values from the calculation:
ΔE_f (raw): -8.6 eV per formula unit
E above lowest polymorph: 0.0000 eV per atom

***

(2)
Density functional theory data (PBE) for Ru4PtRh7 after structural relaxation.

a = 4.665 Å, b = 8.213 Å, c = 5.672 Å
α = 80.91°, β = 65.72°, γ = 73.50°
Positions (direct):
Rh 0.070 0.642 0.217
Rh 0.647 0.438 0.268
Rh 0.930 0.358 0.783
Rh 0.213 0.091 0.482
Rh 0.353 0.562 0.732
Rh 0.500 0.000 0.000
Rh 0.787 0.909 0.518
Ru 0.713 0.683 0.891
Ru 0.432 0.771 0.365
Ru 0.568 0.229 0.635
Ru 0.287 0.317 0.109
Pt 0.000 0.000 0.000

Values from the calculation:
DOS(E_F): 1.5789 states/eV per atom
formation energy from the elements: 0.581 eV per atom
E above lowest polymorph: 0.5648 eV per atom

***

(3)
Density functional theory data (PBE) for Dy6Si2Se3S after structural relaxation.

a = 4.068 Å, b = 8.190 Å, c = 9.146 Å
α = 103.61°, β = 102.85°, γ = 90.00°
Positions (direct):
Dy 0.664 0.094 0.328
Dy 0.994 0.756 0.989
Dy 0.336 0.906 0.672
Dy 0.331 0.425 0.661
Dy 0.006 0.244 0.011
Dy 0.669 0.575 0.339
S 0.500 0.000 0.000
Se 0.835 0.165 0.670
Se 0.500 0.500 0.000
Se 0.165 0.835 0.330
Si 0.166 0.331 0.332
Si 0.834 0.669 0.668

Values from the calculation:
DOS(E_F): 0.3392 states/eV per atom
ΔE_f (raw): -18.4 eV per formula unit

***

(4)
Density functional theory data (PBE) for Rb2PrHg2Te4 after structural relaxation.

a = 4.963 Å, b = 8.632 Å, c = 8.917 Å
α = 108.48°, β = 106.16°, γ = 90.00°
Positions (direct):
Te 0.200 0.186 0.400
Te 0.800 0.814 0.600
Te 0.501 0.751 0.003
Te 0.499 0.249 0.997
Pr 0.000 0.000 0.000
Rb 0.867 0.418 0.734
Rb 0.133 0.582 0.266
Hg 0.668 0.995 0.337
Hg 0.332 0.005 0.663

Values from the calculation:
DOS(E_F): 0.2401 states/eV per atom
ΔE_f (raw): -7.2 eV per formula unit